A geometry-optimized TcRh4 structure, computed with PBE.

CIF file:
```
data_TcRh4
_chemical_formula_sum 'Tc4 Rh16'
_symmetry_space_group_name_H-M 'P 4/m b m'
_symmetry_Int_Tables_number 127
_symmetry_space_group_name_Hall '-P 4 2ab'
_cell_length_a 9.2575
_cell_length_b 9.2575
_cell_length_c 4.4903
_cell_angle_alpha 90.00
_cell_angle_beta 90.00
_cell_angle_gamma 90.00
loop_
_atom_site_label
_atom_site_type_symbol
_atom_site_fract_x
_atom_site_fract_y
_atom_site_fract_z
Tc1 Tc 0.0891 0.4109 0.0000
Rh1 Rh 0.0000 0.0000 0.2380
Rh2 Rh 0.0999 0.5999 0.5000
Rh3 Rh 0.1050 0.2157 0.5000
```

Results
Calculated density   8.80 g/cm³
N(E_F)   33.22 states/eV/cell
E   -6.91 eV/atom
Spin magnetization   0.68 μB per formula unit
Energy relative to the lowest polymorph listed for this composition   1100 meV per atom
Formation enthalpy at 0 K   1.048 eV/atom